(1)
# Sr6P2PbBr3

An optimized crystal structure of Sr6P2PbBr3 (PBE, Alexandria).

abc: 10.8403 10.8403 9.3097
angles: 101.93 101.93 23.47
Last column: nearest neighbours and their distance in Å.
Atoms (fractional coordinates):
Sr 0.0274 0.0274 0.2693  1 P 2.97, 2 Br 3.22, 2 Pb 3.30
Sr 0.3159 0.3159 0.4262  3 P 3.02, 2 Br 3.35
Sr 0.3362 0.3362 0.8816  2 P 3.05, 1 Br 3.26
Sr 0.6638 0.6638 0.1184  2 P 3.05, 1 Br 3.26
Sr 0.6841 0.6841 0.5738  3 P 3.02, 2 Br 3.35
Sr 0.9726 0.9726 0.7307  1 P 2.97, 2 Br 3.22, 2 Pb 3.30
P 0.1705 0.1705 0.3471  6 Sr 2.97-3.05
P 0.8295 0.8295 0.6529  6 Sr 2.97-3.05
Pb 0.5000 0.5000 0.0000  6 Sr 3.30-3.42
Br 0.1799 0.1799 0.8419  5 Sr 3.26-3.46
Br 0.5000 0.5000 0.5000  4 Sr 3.22
Br 0.8201 0.8201 0.1581  5 Sr 3.26-3.46

Properties
Energy relative to the elements, uncorrected = -1.368 eV/atom
SG = C2/m (12)
Fermi-level density of states = 0.294 states/eV/atom


(2)
# TePPb2Br

An optimized crystal structure of TePPb2Br (PBE, Alexandria).

abc: 6.1132 6.1132 5.0173
angles: 90.00 90.00 90.00
Last column: nearest neighbours and their distance in Å.
Atoms (fractional coordinates):
Te 0.0000 0.0000 0.0000  2 P 2.51
P 0.0000 0.0000 0.5000  2 Te 2.51
Pb 0.0000 0.5000 0.0000  2 Te 3.06
Pb 0.5000 0.0000 0.0000  2 Te 3.06
Br 0.5000 0.5000 0.5000  8 Pb 3.95, 4 P 4.32

Properties
Energy relative to the elements, uncorrected = 0.444 eV/atom
SG = P4/mmm (123)
Fermi-level density of states = 0.935 states/eV/atom


(3)
# ZrPPb2Br

An optimized crystal structure of ZrPPb2Br (PBE, Alexandria).

abc: 6.3492 6.3492 4.9828
angles: 90.00 90.00 90.00
Last column: nearest neighbours and their distance in Å.
Atoms (fractional coordinates):
Zr 0.0000 0.0000 0.0000  2 P 2.49
P 0.0000 0.0000 0.5000  2 Zr 2.49
Pb 0.0000 0.5000 0.0000  2 Zr 3.17
Pb 0.5000 0.0000 0.0000  2 Zr 3.17
Br 0.5000 0.5000 0.5000  8 Pb 4.04, 4 P 4.49

Properties
Energy relative to the elements, uncorrected = 0.182 eV/atom
SG = P4/mmm (123)
Fermi-level density of states = 0.927 states/eV/atom


(4)
# PPd3Br

An optimized crystal structure of PPd3Br (PBE, Alexandria).

abc: 4.5857 4.5857 4.5857
angles: 90.00 90.00 90.00
Last column: nearest neighbours and their distance in Å.
Atoms (fractional coordinates):
P 0.0000 0.0000 0.0000  6 Pd 2.29
Pd 0.0000 0.0000 0.5000  2 P 2.29
Pd 0.0000 0.5000 0.0000  2 P 2.29
Pd 0.5000 0.0000 0.0000  2 P 2.29
Br 0.5000 0.5000 0.5000  12 Pd 3.24

Properties
Energy relative to the elements, uncorrected = 0.001 eV/atom
SG = Pm-3m (221)
Fermi-level density of states = 0.562 states/eV/atom


(5)
# P2PdBr

An optimized crystal structure of P2PdBr (PBE, Alexandria).

abc: 6.7739 6.7739 6.7739
angles: 126.31 126.31 79.37
Last column: nearest neighbours and their distance in Å.
Atoms (fractional coordinates):
P 0.0502 0.6250 0.9252  2 Pd 2.28
P 0.3750 0.3002 0.4252  2 Pd 2.28
P 0.6998 0.1250 0.0748  2 Pd 2.28
P 0.8750 0.9498 0.5748  2 Pd 2.28
Pd 0.0000 0.0000 0.0000  4 P 2.28
Pd 0.7500 0.2500 0.5000  4 P 2.28
Br 0.2500 0.7500 0.5000  4 P 2.83
Br 0.5000 0.5000 0.0000  4 P 2.83

Properties
Energy relative to the elements, uncorrected = 0.337 eV/atom
SG = I-42d (122)
Fermi-level density of states = 0.618 states/eV/atom


(6)
# PPd3Br

An optimized crystal structure of PPd3Br (PBE, Alexandria).

abc: 4.7438 4.7438 4.7438
angles: 90.00 90.00 90.00
Last column: nearest neighbours and their distance in Å.
Atoms (fractional coordinates):
P 0.0000 0.0000 0.0000  12 Pd 3.35
Pd 0.0000 0.5000 0.5000  2 Br 2.37
Pd 0.5000 0.0000 0.5000  2 Br 2.37
Pd 0.5000 0.5000 0.0000  2 Br 2.37
Br 0.5000 0.5000 0.5000  6 Pd 2.37

Properties
Energy relative to the elements, uncorrected = 0.904 eV/atom
SG = Pm-3m (221)
Fermi-level density of states = 0.952 states/eV/atom


(7)
# PPdBr3

An optimized crystal structure of PPdBr3 (PBE, Alexandria).

abc: 5.0978 5.0978 5.0978
angles: 90.00 90.00 90.00
Last column: nearest neighbours and their distance in Å.
Atoms (fractional coordinates):
P 0.0000 0.0000 0.0000  6 Br 2.55
Pd 0.5000 0.5000 0.5000  12 Br 3.60
Br 0.0000 0.0000 0.5000  2 P 2.55
Br 0.0000 0.5000 0.0000  2 P 2.55
Br 0.5000 0.0000 0.0000  2 P 2.55

Properties
Energy relative to the elements, uncorrected = 0.428 eV/atom
SG = Pm-3m (221)
Fermi-level density of states = 1.958 states/eV/atom


(8)
# P2PdBr8

An optimized crystal structure of P2PdBr8 (PBE, Alexandria).

abc: 8.5527 8.5527 7.2235
angles: 95.72 95.72 61.36
Last column: nearest neighbours and their distance in Å.
Atoms (fractional coordinates):
P 0.2038 0.2038 0.2919  2 Br 2.23-2.31
P 0.7962 0.7962 0.7081  2 Br 2.23-2.31
Pd 0.0000 0.0000 0.0000  4 Br 2.47
Br 0.1369 0.7313 0.7868  1 Pd 2.47, 1 P 2.70
Br 0.2071 0.2071 0.6007  1 P 2.23
Br 0.2687 0.8631 0.2132  1 Pd 2.47, 1 P 2.70
Br 0.3589 0.3589 0.2691  1 P 2.31
Br 0.6411 0.6411 0.7309  1 P 2.31
Br 0.7313 0.1369 0.7868  1 Pd 2.47, 1 P 2.70
Br 0.7929 0.7929 0.3993  1 P 2.23
Br 0.8631 0.2687 0.2132  1 Pd 2.47, 1 P 2.70

Properties
Energy relative to the elements, uncorrected = -0.188 eV/atom
SG = C2/m (12)


| no. | total magnetization (μB/atom) | E (Ha/atom) |
| --- | --- | --- |
| 1 | 0.014 | -0.14105 |
| 2 | 0.000 | -0.11333 |
| 3 | 0.038 | -0.16271 |
| 4 | 0.000 | -0.16654 |
| 5 | 0.000 | -0.15010 |
| 6 | 0.000 | -0.13335 |
| 7 | 0.078 | -0.09909 |
| 8 | 0.000 | -0.10511 |